A plane-wave DFT calculation with GGA-PBE was carried out for a geometry-optimized Zn5AgAu structure.

Summary:
Size of the total moment = 0.00 μB/f.u.
Total energy = -1.8354 eV per atom
DOS(E_F) = 0.3694 states/eV per atom

Unit cell a=3.9845 b=3.9845 c=7.4448 alpha=90.00 beta=90.00 gamma=90.00
Last column: nearest neighbours and their distance in Å.
Sites, in units of the cell vectors:
Zn1 0.0000 0.0000 0.0000  8 Zn 2.80, 4 Ag 2.82
Zn2 0.0000 0.5000 0.2648  2 Au 2.65, 2 Ag 2.80, 6 Zn 2.80-2.82
Zn3 0.0000 0.5000 0.7352  2 Au 2.65, 6 Zn 2.80-2.82, 2 Ag 2.80
Zn4 0.5000 0.0000 0.2648  2 Au 2.65, 2 Ag 2.80, 6 Zn 2.80-2.82
Zn5 0.5000 0.0000 0.7352  2 Au 2.65, 6 Zn 2.80-2.82, 2 Ag 2.80
Ag1 0.5000 0.5000 0.0000  12 Zn 2.80-2.82
Au1 0.0000 0.0000 0.5000  8 Zn 2.65

=====

A plane-wave DFT calculation with GGA-PBE was carried out for a geometry-optimized ErBiSbO6 structure.

Summary:
Size of the total moment = 0.00 μB/f.u.
Formation energy without anion corrections = -1.82 eV/atom
DOS(E_F) = 0.4174 states/eV per atom

Unit cell a=5.5982 b=5.5982 c=9.3672 alpha=90.00 beta=90.00 gamma=120.00
Last column: nearest neighbours and their distance in Å.
Sites, in units of the cell vectors:
Er1 0.3333 0.6667 0.2500  6 O 2.24
Er2 0.6667 0.3333 0.7500  6 O 2.24
Bi1 0.0000 0.0000 0.0000  6 O 2.32
Bi2 0.0000 0.0000 0.5000  6 O 2.32
Sb1 0.3333 0.6667 0.7500  6 O 2.02
Sb2 0.6667 0.3333 0.2500  6 O 2.02
O1 0.0298 0.3638 0.6328  1 Sb 2.02, 1 Er 2.24
O2 0.0298 0.6660 0.8672  1 Sb 2.02, 1 Er 2.24
O3 0.3340 0.3638 0.8672  1 Sb 2.02, 1 Er 2.24
O4 0.3340 0.9702 0.6328  1 Sb 2.02, 1 Er 2.24
O5 0.3638 0.0298 0.1328  1 Sb 2.02, 1 Er 2.24
O6 0.3638 0.3340 0.3672  1 Sb 2.02, 1 Er 2.24
O7 0.6362 0.6660 0.6328  1 Sb 2.02, 1 Er 2.24
O8 0.6362 0.9702 0.8672  1 Sb 2.02, 1 Er 2.24
O9 0.6660 0.0298 0.3672  1 Sb 2.02, 1 Er 2.24
O10 0.6660 0.6362 0.1328  1 Sb 2.02, 1 Er 2.24
O11 0.9702 0.3340 0.1328  1 Sb 2.02, 1 Er 2.24
O12 0.9702 0.6362 0.3672  1 Sb 2.02, 1 Er 2.24

=====

A plane-wave DFT calculation with GGA-PBE was carried out for a geometry-optimized Cs2MgFeCl6 structure.

Summary:
Size of the total moment = 4.00 μB/f.u.
Formation energy without anion corrections = -1.55 eV/atom
DOS(E_F) = 0.0866 states/eV per atom

Unit cell a=7.2102 b=7.2102 c=7.2102 alpha=119.66 beta=119.66 gamma=90.60
Last column: nearest neighbours and their distance in Å.
Sites, in units of the cell vectors:
Cs1 0.2500 0.7500 0.5000  12 Cl 3.61-3.63
Cs2 0.7500 0.2500 0.5000  12 Cl 3.61-3.63
Mg1 0.0000 0.0000 0.0000  6 Cl 2.54-2.64
Fe1 0.5000 0.5000 0.0000  6 Cl 2.43-2.59
Cl1 0.2476 0.2476 0.4952  1 Mg 2.54, 1 Fe 2.59
Cl2 0.2476 0.7524 0.0000  1 Mg 2.54, 1 Fe 2.59
Cl3 0.2603 0.2603 0.0000  1 Fe 2.43, 1 Mg 2.64
Cl4 0.7397 0.7397 0.0000  1 Fe 2.43, 1 Mg 2.64
Cl5 0.7524 0.2476 0.0000  1 Mg 2.54, 1 Fe 2.59
Cl6 0.7524 0.7524 0.5048  1 Mg 2.54, 1 Fe 2.59

=====

A plane-wave DFT calculation with GGA-PBE was carried out for a geometry-optimized Si2AsBr structure.

Summary:
Size of the total moment = 0.00 μB/f.u.
Formation energy without anion corrections = 0.49 eV/atom
DOS(E_F) = 0.4330 states/eV per atom

Unit cell a=3.4723 b=3.4723 c=7.8588 alpha=90.00 beta=90.00 gamma=114.98
Last column: nearest neighbours and their distance in Å.
Sites, in units of the cell vectors:
Si1 0.0000 0.0000 0.2191  2 As 2.54
Si2 0.0000 0.0000 0.7809  2 As 2.54
As1 0.5000 0.5000 0.0000  4 Si 2.54
Br1 0.5000 0.5000 0.5000  4 Si 2.89

=====

A plane-wave DFT calculation with GGA-PBE was carried out for a geometry-optimized CaGa2Cu2Ge structure.

Summary:
Size of the total moment = 0.00 μB/f.u.
Total energy = -3.4975 eV per atom
DOS(E_F) = 0.4284 states/eV per atom

Unit cell a=4.6009 b=4.6009 c=5.7754 alpha=90.00 beta=90.00 gamma=90.00
Last column: nearest neighbours and their distance in Å.
Sites, in units of the cell vectors:
Ca1 0.0000 0.0000 0.0000  2 Ge 2.89
Ga1 0.5000 0.5000 0.2389  4 Cu 2.75, 2 Ga 2.76-3.02
Ga2 0.5000 0.5000 0.7611  4 Cu 2.75, 2 Ga 2.76-3.02
Cu1 0.0000 0.5000 0.5000  2 Ge 2.30
Cu2 0.5000 0.0000 0.5000  2 Ge 2.30
Ge1 0.0000 0.0000 0.5000  4 Cu 2.30

=====

A plane-wave DFT calculation with GGA-PBE was carried out for a geometry-optimized Nd12Cu6Pd structure.

Summary:
Size of the total moment = 0.00 μB/f.u.
Total energy = -4.5573 eV per atom
DOS(E_F) = 1.4284 states/eV per atom

Unit cell a=8.4138 b=8.4138 c=8.4138 alpha=98.46 beta=98.46 gamma=98.46
Last column: nearest neighbours and their distance in Å.
Sites, in units of the cell vectors:
Nd1 0.0478 0.9089 0.6741  2 Cu 2.83-2.92, 1 Pd 2.84
Nd2 0.0911 0.3259 0.9522  2 Cu 2.83-2.92, 1 Pd 2.84
Nd3 0.1885 0.5644 0.4138  3 Cu 2.82-3.00
Nd4 0.3259 0.9522 0.0911  2 Cu 2.83-2.92, 1 Pd 2.84
Nd5 0.4138 0.1885 0.5644  3 Cu 2.82-3.00
Nd6 0.4356 0.5862 0.8115  3 Cu 2.82-3.00
Nd7 0.5644 0.4138 0.1885  3 Cu 2.82-3.00
Nd8 0.5862 0.8115 0.4356  3 Cu 2.82-3.00
Nd9 0.6741 0.0478 0.9089  2 Cu 2.83-2.92, 1 Pd 2.84
Nd10 0.8115 0.4356 0.5862  3 Cu 2.82-3.00
Nd11 0.9089 0.6741 0.0478  2 Cu 2.83-2.92, 1 Pd 2.84
Nd12 0.9522 0.0911 0.3259  2 Cu 2.83-2.92, 1 Pd 2.84
Cu1 0.1288 0.3101 0.6214  5 Nd 2.82-3.00
Cu2 0.3101 0.6214 0.1288  5 Nd 2.82-3.00
Cu3 0.3786 0.8712 0.6899  5 Nd 2.82-3.00
Cu4 0.6214 0.1288 0.3101  5 Nd 2.82-3.00
Cu5 0.6899 0.3786 0.8712  5 Nd 2.82-3.00
Cu6 0.8712 0.6899 0.3786  5 Nd 2.82-3.00
Pd1 0.0000 0.0000 0.0000  6 Nd 2.84